# Co2IrWO

A geometry-optimized Co2IrWO structure (PBE with a Hubbard U, Alexandria).

Properties
Total DFT energy (no corrections) = -5.151 eV/atom

a b c (Å): 4.689 3.697 4.689
angles (deg): 90.00 90.00 90.00
Element x y z (fractional)
O (0.000, 0.500, 0.000)
W (0.000, 0.000, 0.000)
Ir (0.500, 0.500, 0.500)
Co (0.000, 0.000, 0.500)
Co (0.500, 0.000, 0.000)

=====

# YCoIrO6

A geometry-optimized YCoIrO6 structure (PBE with a Hubbard U, Alexandria).

Properties
Total DFT energy (no corrections) = -6.933 eV/atom

a b c (Å): 5.409 5.409 8.546
angles (deg): 90.00 90.00 120.00
Element x y z (fractional)
O (0.044, 0.681, 0.878)
O (0.681, 0.044, 0.378)
O (0.956, 0.637, 0.378)
O (0.637, 0.956, 0.878)
O (0.319, 0.363, 0.878)
O (0.363, 0.044, 0.122)
O (0.363, 0.319, 0.378)
O (0.637, 0.681, 0.622)
O (0.956, 0.319, 0.122)
O (0.044, 0.363, 0.622)
O (0.319, 0.956, 0.622)
O (0.681, 0.637, 0.122)
Y (0.333, 0.667, 0.250)
Y (0.667, 0.333, 0.750)
Co (0.000, 0.000, 0.500)
Co (0.000, 0.000, 0.000)
Ir (0.667, 0.333, 0.250)
Ir (0.333, 0.667, 0.750)

=====

# Zn2CoIrO6

A geometry-optimized Zn2CoIrO6 structure (PBE with a Hubbard U, Alexandria).

Properties
Total DFT energy (no corrections) = -5.547 eV/atom

a b c (Å): 5.151 5.137 9.089
angles (deg): 55.99 90.00 90.00
Element x y z (fractional)
O (0.917, 0.866, 0.747)
O (0.680, 0.233, 0.439)
O (0.583, 0.866, 0.247)
O (0.173, 0.386, 0.435)
O (0.083, 0.134, 0.253)
O (0.827, 0.614, 0.565)
O (0.327, 0.386, 0.935)
O (0.180, 0.767, 0.061)
O (0.417, 0.134, 0.753)
O (0.320, 0.767, 0.561)
O (0.820, 0.233, 0.939)
O (0.673, 0.614, 0.065)
Ir (0.000, 0.500, 0.000)
Ir (0.500, 0.500, 0.500)
Zn (0.467, 0.240, 0.251)
Zn (0.033, 0.240, 0.751)
Zn (0.533, 0.760, 0.749)
Zn (0.967, 0.760, 0.249)
Co (0.500, 0.000, 0.000)
Co (0.000, 0.000, 0.500)

=====

# ZrCoIrO6

A geometry-optimized ZrCoIrO6 structure (PBE with a Hubbard U, Alexandria).

Properties
Total DFT energy (no corrections) = -7.291 eV/atom

a b c (Å): 5.238 5.238 8.865
angles (deg): 90.00 90.00 120.00
Element x y z (fractional)
O (0.648, 0.669, 0.627)
O (0.021, 0.352, 0.627)
O (0.669, 0.648, 0.127)
O (0.021, 0.669, 0.873)
O (0.331, 0.979, 0.627)
O (0.669, 0.021, 0.373)
O (0.331, 0.352, 0.873)
O (0.352, 0.021, 0.127)
O (0.979, 0.331, 0.127)
O (0.648, 0.979, 0.873)
O (0.979, 0.648, 0.373)
O (0.352, 0.331, 0.373)
Zr (0.333, 0.667, 0.250)
Zr (0.667, 0.333, 0.750)
Co (0.000, 0.000, 0.500)
Co (0.000, 0.000, 0.000)
Ir (0.667, 0.333, 0.250)
Ir (0.333, 0.667, 0.750)